# Tb3CeB4O12 PBE-GGA optimized geometry
# energy relative to the elements, uncorrected: -3.05 eV/atom
data_Tb3CeB4O12
_cell_length_a 10.2245
_cell_length_b 10.2245
_cell_length_c 8.6325
_cell_angle_alpha 90.00
_cell_angle_beta 90.00
_cell_angle_gamma 120.00
_space_group_name_H-M_alt 'R 3 2'
_space_group_IT_number 155
_space_group_name_Hall 'R 3 2"'
loop_
_atom_site_label
_atom_site_fract_x
_atom_site_fract_y
_atom_site_fract_z
_atom_site_occupancy
Tb1 0.0000 0.5347 0.0000 1
Ce1 0.0000 0.0000 0.0000 1
B1 0.0000 0.0000 0.5000 1
B2 0.0000 0.4644 0.5000 1
O1 0.0000 0.5994 0.5000 1
O2 0.0000 0.8648 0.5000 1
O3 0.0028 0.1981 0.1713 1